This record from Alexandria via LeMat-Bulk describes crystalline BeAgAs2 at its relaxed geometry. The functional is PBE.

abc: 7.161 7.161 7.161
angles: 27.03 27.03 27.03
Fractional positions:
Be  0.250  0.250  0.250
As  0.983  0.983  0.983
As  0.517  0.517  0.517
Ag  0.750  0.750  0.750

Calculated values
Calculated formation energy   225.9 meV/atom
Mass density   6.618 g cm⁻³

This record from Alexandria via LeMat-Bulk describes crystalline BeAgAs at its relaxed geometry. The functional is PBE.

abc: 6.239 6.239 6.239
angles: 153.58 153.58 37.71
Fractional positions:
Be  0.667  0.667  0.000
As  0.300  0.300  0.000
Ag  0.032  0.032  0.000

Calculated values
Calculated formation energy   281.4 meV/atom
Mass density   6.633 g cm⁻³

This record from Alexandria via LeMat-Bulk describes crystalline BeAgAs3 at its relaxed geometry. The functional is PBE.

abc: 4.985 4.985 4.985
angles: 90.00 90.00 90.00
Fractional positions:
Be  0.500  0.500  0.500
As  0.000  0.500  0.000
As  0.000  0.000  0.500
As  0.500  0.000  0.000
Ag  0.000  0.000  0.000

Calculated values
Calculated formation energy   1344.5 meV/atom
Polymorph energy (0 for the lowest one)   0.8056 eV per atom
Mass density   4.581 g cm⁻³

This record from Alexandria via LeMat-Bulk describes crystalline BeAg4As at its relaxed geometry. The functional is PBE.

abc: 5.429 5.429 5.429
angles: 60.00 60.00 60.00
Fractional positions:
Be  0.000  0.000  0.000
Ag  0.876  0.375  0.375
Ag  0.375  0.375  0.876
Ag  0.375  0.876  0.375
Ag  0.375  0.375  0.375
As  0.750  0.750  0.750

Calculated values
Calculated formation energy   539.8 meV/atom
Mass density   7.565 g cm⁻³

This record from Alexandria via LeMat-Bulk describes crystalline BeAgAs at its relaxed geometry. The functional is PBE.

abc: 3.868 9.188 3.774
angles: 78.15 119.17 77.23
Fractional positions:
Be  0.860  0.321  0.615
Be  0.466  0.822  0.669
As  0.252  0.278  0.333
As  0.161  0.778  0.039
Ag  0.541  0.538  0.847
Ag  0.353  0.038  0.005

Calculated values
Calculated formation energy   42.9 meV/atom
Mass density   5.997 g cm⁻³

This record from Alexandria via LeMat-Bulk describes crystalline BeAgAsBr2 at its relaxed geometry. The functional is PBE.

abc: 5.133 5.133 4.343
angles: 90.00 90.00 90.00
Fractional positions:
Be  0.000  0.000  0.000
As  0.000  0.000  0.500
Br  0.000  0.500  0.000
Br  0.500  0.000  0.000
Ag  0.500  0.500  0.500

Calculated values
ΔE_f (raw)   0.27 eV/atom
Polymorph energy (0 for the lowest one)   0.0000 eV per atom
Mass density   5.102 g cm⁻³

This record from Alexandria via LeMat-Bulk describes crystalline BeAgAsBr2 at its relaxed geometry. The functional is PBE.

abc: 5.317 5.317 5.163
angles: 90.00 90.00 90.00
Fractional positions:
Be  0.500  0.500  0.500
As  0.000  0.000  0.500
Br  0.000  0.500  0.000
Br  0.500  0.000  0.000
Ag  0.000  0.000  0.000

Calculated values
ΔE_f (raw)   0.89 eV/atom
Polymorph energy (0 for the lowest one)   0.6189 eV per atom
Mass density   4.000 g cm⁻³

This record from Alexandria via LeMat-Bulk describes crystalline Cs2BeAgAs2 at its relaxed geometry. The functional is PBE.

abc: 6.463 6.151 10.288
angles: 107.39 108.31 90.00
Fractional positions:
Cs  0.392  0.158  0.316
Cs  0.608  0.842  0.684
Cs  0.076  0.342  0.684
Cs  0.924  0.658  0.316
Be  0.500  0.750  0.000
Be  0.500  0.250  0.000
Ag  0.000  0.750  0.000
Ag  0.000  0.250  0.000
As  0.772  0.067  0.135
As  0.363  0.567  0.135
As  0.637  0.433  0.865
As  0.228  0.933  0.865

Calculated values
Calculated formation energy   -218.6 meV/atom
Mass density   4.799 g cm⁻³

This record from Alexandria via LeMat-Bulk describes crystalline BeGa2AgAs at its relaxed geometry. The functional is PBE.

abc: 5.090 4.917 5.090
angles: 90.00 90.00 90.00
Fractional positions:
Be  0.500  0.500  0.500
As  0.000  0.000  0.000
Ga  0.000  0.000  0.500
Ga  0.500  0.000  0.000
Ag  0.000  0.500  0.000

Calculated values
Calculated formation energy   857.9 meV/atom
Mass density   4.318 g cm⁻³

This record from Alexandria via LeMat-Bulk describes crystalline Be2AgAsH at its relaxed geometry. The functional is PBE.

abc: 3.756 4.276 3.756
angles: 90.00 90.00 90.00
Fractional positions:
Be  0.000  0.000  0.500
Be  0.500  0.000  0.000
As  0.000  0.500  0.000
Ag  0.500  0.500  0.500
H  0.000  0.000  0.000

Calculated values
Uncorrected energy   -15.3 eV/cell
Mass density   5.556 g cm⁻³

This record from Alexandria via LeMat-Bulk describes crystalline BeAgAs2H at its relaxed geometry. The functional is PBE.

abc: 4.344 4.661 4.344
angles: 90.00 90.00 90.00
Fractional positions:
Be  0.000  0.000  0.000
As  0.000  0.000  0.500
As  0.500  0.000  0.000
Ag  0.000  0.500  0.000
H  0.500  0.500  0.500

Calculated values
Uncorrected energy   -15.0 eV/cell
Mass density   5.055 g cm⁻³

This record from Alexandria via LeMat-Bulk describes crystalline LaBe2AgAs at its relaxed geometry. The functional is PBE.

abc: 4.405 5.756 4.405
angles: 90.00 90.00 90.00
Fractional positions:
Be  0.000  0.000  0.500
Be  0.500  0.000  0.000
As  0.000  0.000  0.000
Ag  0.500  0.500  0.500
La  0.000  0.500  0.000

Calculated values
Calculated formation energy   360.5 meV/atom
Mass density   5.050 g cm⁻³